Model i:
This record from the Alexandria database describes crystalline Re3Cl2 at its relaxed geometry. The functional is GGA-PBE.

Cell and atoms, written as POSCAR:
```
Re3Cl2
1.0
0.3479 -6.9314 3.9540
1.2232 -1.9179 6.7889
-4.9118 -2.6166 1.7220
Re Cl
6 4
direct
0.2325 0.2675 0.2675
0.9024 0.3910 0.7294
0.9825 0.0175 0.0175
0.9772 0.7294 0.3910
0.5206 0.2728 0.3476
0.8590 0.3476 0.2728
0.5268 0.1174 0.7447
0.6111 0.7447 0.1174
0.5053 0.6389 0.7232
0.1326 0.7232 0.6389
```

---

Model ii:
This record from the Alexandria database describes crystalline Re3Cl2 at its relaxed geometry. The functional is GGA-PBE.

Cell and atoms, written as POSCAR:
```
Re3Cl2
1.0
10.8208 -1.4420 0.0061
10.8208 1.4420 0.0061
10.6272 0.0000 2.4961
Cl Re
2 3
direct
0.3933 0.3933 0.3933
0.6067 0.6067 0.6067
0.8023 0.8023 0.8023
0.0000 0.0000 0.0000
0.1977 0.1977 0.1977
```

---

Least stable: model i